(1)
Li2PmTl2 after structural relaxation, computed with PBE.

Output
Crystal system = monoclinic
ΔE to the lowest computed polymorph = 0.000 eV/atom
Space-group type = P2_1/m (11)

The structure in extended XYZ format:
```
10
Lattice="-4.318 0.073 -2.410 -2.168 -2.719 3.802 -3.407 6.882 6.314" Properties=species:S:1:pos:R:3 pbc="T T T"
Tl -3.285 2.631 3.429
Tl -4.244 6.153 5.254
Tl -6.608 1.605 4.277
Tl -5.649 -1.917 2.451
Li -7.578 4.923 6.115
Li -5.018 1.164 1.414
Li -2.315 -0.687 1.590
Li -4.876 3.072 6.291
Pm -3.942 -0.211 4.518
Pm -5.952 4.447 3.187
```

***

(2)
LiPm2Tl after structural relaxation, computed with PBE.

Output
Crystal system = monoclinic
VASP energy = -0.122 Ha/atom
Space-group type = C2/c (15)

The structure in extended XYZ format:
```
8
Lattice="4.857 0.000 0.000 0.000 9.308 -0.008 -2.429 -2.323 5.092" Properties=species:S:1:pos:R:3 pbc="T T T"
Pm 2.432 6.984 3.189
Pm 2.425 2.330 3.193
Pm 0.003 4.655 1.892
Pm -0.003 0.002 1.896
Li 4.851 2.327 -0.002
Li 0.006 6.981 -0.006
Tl 2.423 2.327 -0.002
Tl 2.434 6.981 -0.006
```